[1]
RbBaMo2I | PBE-GGA | optimized geometry

Uncorrected energy = -18.76 eV for the cell shown
Fermi-level density of states = 8.4 states/eV per cell
Raw formation energy = 7.35 eV/f.u.
SG = No. 123

abc: 5.1017 5.1017 6.4036
angles: 90.00 90.00 90.00
Fractional coordinates of all 5 atoms:
Rb 0.0000 0.0000 0.0000
Ba 0.5000 0.5000 0.0000
Mo 0.0000 0.5000 0.5000
Mo 0.5000 0.0000 0.5000
I 0.5000 0.5000 0.5000


[2]
BaRe2MoI | PBE-GGA | optimized geometry

Uncorrected energy = -20.80 eV for the cell shown
Fermi-level density of states = 6.8 states/eV per cell
Raw formation energy = 18.40 eV/f.u.
SG = No. 123

abc: 5.2027 5.2027 5.1974
angles: 90.00 90.00 90.00
Fractional coordinates of all 5 atoms:
Ba 0.0000 0.0000 0.0000
Re 0.0000 0.5000 0.0000
Re 0.5000 0.0000 0.0000
Mo 0.0000 0.0000 0.5000
I 0.5000 0.5000 0.5000


[3]
BaSbMoI2 | PBE-GGA | optimized geometry

Uncorrected energy = -16.48 eV for the cell shown
Energy relative to the lowest polymorph listed for this composition = 0.952 eV/atom
Fermi-level density of states = 3.3 states/eV per cell
Raw formation energy = 3.50 eV/f.u.
SG = No. 123

abc: 6.6097 6.6097 6.9222
angles: 90.00 90.00 90.00
Fractional coordinates of all 5 atoms:
Ba 0.0000 0.0000 0.0000
Sb 0.0000 0.0000 0.5000
Mo 0.5000 0.5000 0.5000
I 0.0000 0.5000 0.0000
I 0.5000 0.0000 0.0000


[4]
BaSbMoI2 | PBE-GGA | optimized geometry

Uncorrected energy = -21.24 eV for the cell shown
Energy relative to the lowest polymorph listed for this composition = 0.000 eV/atom
Fermi-level density of states = 2.6 states/eV per cell
Raw formation energy = -1.27 eV/f.u.
SG = No. 123

abc: 5.7466 5.7466 5.3594
angles: 90.00 90.00 90.00
Fractional coordinates of all 5 atoms:
Ba 0.0000 0.0000 0.0000
Sb 0.5000 0.5000 0.0000
Mo 0.5000 0.5000 0.5000
I 0.0000 0.5000 0.5000
I 0.5000 0.0000 0.5000


[5]
BaTa2MoI | PBE-GGA | optimized geometry

Uncorrected energy = -22.55 eV for the cell shown
Fermi-level density of states = 9.6 states/eV per cell
Raw formation energy = 15.46 eV/f.u.
SG = No. 123

abc: 5.2287 5.2287 5.0703
angles: 90.00 90.00 90.00
Fractional coordinates of all 5 atoms:
Ba 0.0000 0.0000 0.0000
Ta 0.0000 0.5000 0.0000
Ta 0.5000 0.0000 0.0000
Mo 0.0000 0.0000 0.5000
I 0.5000 0.5000 0.5000


[6]
BaTiMoI2 | PBE-GGA | optimized geometry

Uncorrected energy = -19.07 eV for the cell shown
Fermi-level density of states = 7.4 states/eV per cell
Raw formation energy = 4.68 eV/f.u.
SG = No. 123

abc: 5.5239 5.5239 5.8675
angles: 90.00 90.00 90.00
Fractional coordinates of all 5 atoms:
Ba 0.0000 0.0000 0.0000
Ti 0.5000 0.5000 0.0000
Mo 0.0000 0.0000 0.5000
I 0.0000 0.5000 0.5000
I 0.5000 0.0000 0.5000


[7]
BaV2MoI | PBE-GGA | optimized geometry

Uncorrected energy = -24.73 eV for the cell shown
Fermi-level density of states = 8.9 states/eV per cell
Raw formation energy = 7.82 eV/f.u.
SG = No. 123

abc: 4.9682 4.9682 5.1700
angles: 90.00 90.00 90.00
Fractional coordinates of all 5 atoms:
Ba 0.0000 0.0000 0.0000
V 0.0000 0.5000 0.5000
V 0.5000 0.0000 0.5000
Mo 0.5000 0.5000 0.0000
I 0.5000 0.5000 0.5000


[8]
Ba2YMoI | PBE-GGA | optimized geometry

Uncorrected energy = -18.73 eV for the cell shown
Fermi-level density of states = 8.3 states/eV per cell
Raw formation energy = 3.96 eV/f.u.
SG = No. 123

abc: 6.4771 6.4771 5.6939
angles: 90.00 90.00 90.00
Fractional coordinates of all 5 atoms:
Ba 0.0000 0.5000 0.0000
Ba 0.5000 0.0000 0.0000
Y 0.0000 0.0000 0.5000
Mo 0.5000 0.5000 0.5000
I 0.0000 0.0000 0.0000